## CoCu4Ge2S7 (PBE-GGA)

Data for CoCu4Ge2S7 after structural relaxation.

abc: 6.4607 6.4607 8.3445
angles: 97.32 97.32 48.52
Closest atoms and distances in Å follow each position.
Element x y z (fractional)
S 0.3247 0.2406 0.8544  1 Ge 2.25, 3 Cu 2.28-2.30
S 0.7594 0.6753 0.1456  1 Ge 2.25, 3 Cu 2.28-2.30
Cu 0.5765 0.0004 0.3589  4 S 2.29-2.30
Cu 0.1541 0.5612 0.0667  4 S 2.28-2.32
Co 0.2834 0.7166 0.5000  4 S 2.25
S 0.1831 0.1003 0.4276  1 Co 2.25, 1 Ge 2.29, 2 Cu 2.29-2.30
Cu 0.9996 0.4235 0.6411  4 S 2.29-2.30
Ge 0.6994 0.1526 0.7790  4 S 2.25-2.36
S 0.0308 0.9692 0.0000  2 Cu 2.32, 2 Ge 2.36
Ge 0.8474 0.3006 0.2210  4 S 2.25-2.36
S 0.4563 0.4011 0.2892  1 Co 2.25, 2 Cu 2.28-2.29, 1 Ge 2.29
S 0.5989 0.5437 0.7108  1 Co 2.25, 2 Cu 2.28-2.29, 1 Ge 2.29
S 0.8997 0.8169 0.5724  1 Co 2.25, 1 Ge 2.29, 2 Cu 2.29-2.30
Cu 0.4388 0.8459 0.9333  4 S 2.28-2.32

Calculated values
Final energy in eV per atom: -4.6126
Crystal system: monoclinic
Total magnetic moment in μB per cell: 3.00
Space group: C2, No. 5

## ScCoCuGe (PBE-GGA)

Data for ScCoCuGe after structural relaxation.

abc: 4.2856 4.2856 4.2856
angles: 60.00 60.00 60.00
Closest atoms and distances in Å follow each position.
Element x y z (fractional)
Ge 0.2500 0.2500 0.2500  4 Co 2.62, 4 Cu 2.62
Co 0.5000 0.5000 0.5000  4 Sc 2.62, 4 Ge 2.62
Cu 0.0000 0.0000 0.0000  4 Sc 2.62, 4 Ge 2.62
Sc 0.7500 0.7500 0.7500  4 Co 2.62, 4 Cu 2.62

Calculated values
Polymorph energy (0 for the lowest one) in meV per atom: 0
Crystal system: cubic
Total magnetic moment in μB per cell: 0.04
Space group: F-43m, No. 216

## ScCoCuGe (PBE-GGA)

Data for ScCoCuGe after structural relaxation.

abc: 4.3135 4.3135 4.3135
angles: 60.00 60.00 60.00
Closest atoms and distances in Å follow each position.
Element x y z (fractional)
Cu 0.5000 0.5000 0.5000  4 Sc 2.64, 4 Co 2.64
Ge 0.0000 0.0000 0.0000  4 Sc 2.64, 4 Co 2.64
Sc 0.2500 0.2500 0.2500  4 Ge 2.64, 4 Cu 2.64
Co 0.7500 0.7500 0.7500  4 Ge 2.64, 4 Cu 2.64

Calculated values
Polymorph energy (0 for the lowest one) in meV per atom: 49
Crystal system: cubic
Total magnetic moment in μB per cell: 0.02
Space group: F-43m, No. 216

## ScCoCuGe (PBE-GGA)

Data for ScCoCuGe after structural relaxation.

abc: 4.3650 4.3650 4.3650
angles: 60.00 60.00 60.00
Closest atoms and distances in Å follow each position.
Element x y z (fractional)
Co 0.7500 0.7500 0.7500  4 Cu 2.67, 4 Sc 2.67
Sc 0.5000 0.5000 0.5000  4 Ge 2.67, 4 Co 2.67
Cu 0.0000 0.0000 0.0000  4 Ge 2.67, 4 Co 2.67
Ge 0.2500 0.2500 0.2500  4 Sc 2.67, 4 Cu 2.67

Calculated values
Polymorph energy (0 for the lowest one) in meV per atom: 194
Crystal system: cubic
Total magnetic moment in μB per cell: 1.24
Space group: F-43m, No. 216